Entry 1:
! Ni2TeMoOs, optimized geometry, DFT PBE; values from VASP
&SYSTEM
  ibrav = 0, nat = 5, ntyp = 4
/
ATOMIC_SPECIES
Ni 58.69 Ni.upf
Te 127.60 Te.upf
Mo 95.94 Mo.upf
Os 190.23 Os.upf
ATOMIC_POSITIONS angstrom
Ni 0.000 2.207 0.000
Ni 2.207 0.000 0.000
Te 0.000 0.000 2.524
Mo 0.000 0.000 0.000
Os 2.207 2.207 2.524
CELL_PARAMETERS angstrom
4.414 0.000 0.000
0.000 4.414 0.000
0.000 0.000 5.048
! space-group type = P4/mmm, No. 123
! raw formation energy = 1800.6 meV/atom

Entry 2:
! NiMoOsW, optimized geometry, DFT PBE; values from VASP
&SYSTEM
  ibrav = 0, nat = 4, ntyp = 4
/
ATOMIC_SPECIES
Ni 58.69 Ni.upf
Mo 95.94 Mo.upf
Os 190.23 Os.upf
W 183.84 W.upf
ATOMIC_POSITIONS angstrom
Ni 0.000 0.000 0.000
Mo 1.921 0.000 1.932
Os 1.921 1.928 0.000
W 0.000 1.928 1.932
CELL_PARAMETERS angstrom
3.841 0.000 0.000
0.000 3.856 0.000
0.000 0.000 3.864
! space-group type = Pmmm, No. 47
! E_form = 0.00 eV/atom

Entry 3:
! Ni15Mo17P12, optimized geometry, DFT PBE; values from VASP
&SYSTEM
  ibrav = 0, nat = 44, ntyp = 3
/
ATOMIC_SPECIES
Ni 58.69 Ni.upf
Mo 95.94 Mo.upf
P 30.97 P.upf
ATOMIC_POSITIONS angstrom
Ni 0.000 0.000 0.000
Ni -0.122 0.078 9.786
Ni -1.541 4.476 3.275
Ni 1.401 -0.262 7.614
Ni -0.025 4.106 1.098
Ni 1.955 -1.732 9.758
Ni 0.538 2.650 3.242
Ni 0.386 2.660 9.788
Ni 2.483 0.887 3.242
Ni 2.331 0.897 9.788
Ni 0.914 5.279 3.272
Ni 2.894 -0.559 11.932
Ni 1.468 3.808 5.416
Ni 4.410 -0.930 9.755
Ni 2.991 3.468 3.244
Mo -2.074 1.773 6.515
Mo -0.040 -0.002 2.788
Mo -2.104 1.719 9.414
Mo -2.867 4.354 5.537
Mo -1.423 -0.025 12.056
Mo -1.545 2.942 11.999
Mo 0.568 1.150 5.440
Mo 1.748 1.970 0.912
Mo -0.292 3.770 7.443
Mo 3.161 -0.224 5.587
Mo 1.121 1.577 12.118
Mo 2.301 2.396 7.590
Mo 4.414 0.604 1.031
Mo 4.292 3.571 0.973
Mo 5.736 -0.807 7.493
Mo 4.973 1.828 3.616
Mo 2.909 3.548 10.242
P -0.725 2.046 1.498
P -2.799 3.805 8.060
P -1.453 5.753 1.400
P 0.005 1.393 7.968
P -0.650 3.397 4.993
P 0.769 -0.962 11.538
P 2.100 4.508 1.492
P 3.519 0.149 8.037
P 2.864 2.154 5.062
P 4.322 -2.206 11.630
P 5.668 -0.259 4.970
P 3.594 1.500 11.532
CELL_PARAMETERS angstrom
7.017 0.000 0.000
-3.493 6.130 0.000
-0.654 -2.583 13.030
! space-group type = P-1, No. 2
! E_form = -0.45 eV/atom

Entry 4:
! Ni2MoP, optimized geometry, DFT PBE; values from VASP
&SYSTEM
  ibrav = 0, nat = 8, ntyp = 3
/
ATOMIC_SPECIES
Ni 58.69 Ni.upf
Mo 95.94 Mo.upf
P 30.97 P.upf
ATOMIC_POSITIONS angstrom
Ni 0.000 1.771 1.966
Ni 0.000 1.771 5.898
Ni 1.771 0.000 1.966
Ni 1.771 0.000 5.898
Mo 0.000 0.000 0.000
Mo 1.771 1.771 3.932
P 0.000 0.000 3.932
P 1.771 1.771 0.000
CELL_PARAMETERS angstrom
3.542 0.000 0.000
0.000 3.542 0.000
0.000 0.000 7.864
! space-group type = I4/mmm, No. 139
! E_form = -0.05 eV/atom

One value per record, in order, for ρ: 8.97, 15.34, 8.54, 8.23 g/cm3.